(1)
An optimized crystal structure of Pr2AlAgO5, computed with GGA-PBE.

Unit cell a=6.9327 b=6.9327 c=10.7508 alpha=90.00 beta=90.00 gamma=90.00
Space group I4/mcm (No. 140)
Symmetry-distinct sites (fractional):
Pr 0.1814 0.3186 0.0000
Al 0.0000 0.5000 0.2500
Ag 0.0000 0.0000 0.2500
O 0.0000 0.0000 0.0000
O 0.1325 0.3675 0.3619

Properties
ρ: 6.384 Mg/m³
formation energy from raw total energies: -2579 meV per atom

(2)
An optimized crystal structure of ScCr2Fe, computed with GGA-PBE.

Unit cell a=4.2982 b=4.2982 c=3.0365 alpha=90.00 beta=90.00 gamma=90.00
Space group P4/mmm (No. 123)
Symmetry-distinct sites (fractional):
Sc 0.0000 0.0000 0.0000
Cr 0.0000 0.5000 0.5000
Fe 0.5000 0.5000 0.0000

Properties
ρ: 6.062 Mg/m³
E above lowest polymorph: 23.32 kJ per mole of atoms
ΔE_f: 0.395 eV per atom

(3)
An optimized crystal structure of Ce3HN2, computed with GGA-PBE.

Unit cell a=3.5033 b=12.1402 c=10.5476 alpha=90.00 beta=90.00 gamma=90.00
Space group Cmcm (No. 63)
Symmetry-distinct sites (fractional):
Ce 0.0000 0.1011 0.2500
Ce 0.0000 0.3774 0.0766
H 0.0000 0.2296 0.7500
N 0.0000 0.0000 0.0000
N 0.0000 0.4813 0.2500

Properties
ρ: 6.654 Mg/m³
raw total energy: -7.17 eV/atom

(4)
An optimized crystal structure of LiLaAu4, computed with GGA-PBE.

Unit cell a=7.9760 b=7.9760 c=7.9760 alpha=90.00 beta=90.00 gamma=90.00
Space group F-43m (No. 216)
Symmetry-distinct sites (fractional):
Li 0.0000 0.0000 0.0000
La 0.2500 0.2500 0.2500
Au 0.1259 0.1259 0.6259

Properties
ρ: 12.223 Mg/m³
E above lowest polymorph: 4.15 kJ per mole of atoms
ΔE_f: -0.536 eV per atom

(5)
An optimized crystal structure of MgTaCl6, computed with GGA-PBE.

Unit cell a=6.3154 b=6.3154 c=17.0095 alpha=90.00 beta=90.00 gamma=120.00
Space group R-3 (No. 148, hexagonal axes)
Symmetry-distinct sites (fractional):
Mg 0.0000 0.0000 0.0000
Ta 0.0000 0.0000 0.5000
Cl 0.0122 0.3607 0.2485

Properties
ρ: 3.544 Mg/m³
formation energy from raw total energies: -1376 meV per atom

(6)
An optimized crystal structure of Rb3U3TiSe8, computed with GGA-PBE.

Unit cell a=8.1711 b=8.1711 c=24.7701 alpha=90.00 beta=90.00 gamma=120.00
Space group R-3m (No. 166, hexagonal axes)
Symmetry-distinct sites (fractional):
Rb 0.0000 0.5000 0.0000
U 0.0000 0.5000 0.5000
Ti 0.0000 0.0000 0.5000
Se 0.0000 0.0000 0.2338
Se 0.0170 0.5085 0.2290

Properties
ρ: 5.739 Mg/m³
formation energy from raw total energies: -1219 meV per atom

(7)
An optimized crystal structure of Ni2PdSe3, computed with GGA-PBE.

Unit cell a=6.4226 b=3.6088 c=10.3272 alpha=90.00 beta=104.96 gamma=90.00
Space group P2_1/m (No. 11)
Symmetry-distinct sites (fractional):
Ni 0.0645 0.2500 0.4278
Ni 0.3908 0.7500 0.9022
Pd 0.2350 0.2500 0.6986
Se 0.0217 0.7500 0.8051
Se 0.2931 0.7500 0.5218
Se 0.3902 0.7500 0.1275

Properties
ρ: 6.616 Mg/m³
E above lowest polymorph: 0.00 kJ per mole of atoms
formation energy from raw total energies: -225 meV per atom

(8)
An optimized crystal structure of Zn2CdTe, computed with GGA-PBE.

Unit cell a=3.9864 b=5.5010 c=8.3344 alpha=90.00 beta=90.00 gamma=90.00
Space group Imm2 (No. 44)
Symmetry-distinct sites (fractional):
Zn 0.0000 0.0000 0.0000
Zn 0.0000 0.5000 0.2917
Cd 0.0000 0.5000 0.7521
Te 0.0000 0.0000 0.5421

Properties
ρ: 6.738 Mg/m³
E above lowest polymorph: 10.28 kJ per mole of atoms
formation energy from raw total energies: 120 meV per atom

Result set for V: 14.35 14.02 18.69 21.14 24.48 31.83 19.27 22.85 A^3/atom, one per record in the order listed.